VASP calculation (GGA-PBE) on a relaxed CoNi2Hg crystal.

Cell and atoms, written as extended XYZ:
```
4
Lattice="2.7063 -3.6115 0.0000 2.7063 3.6115 0.0000 -0.0077 0.0000 2.7690" Properties=species:S:1:pos:R:3 pbc="T T T"
Co 0.0000 0.0000 0.0000
Ni 1.3493 1.8057 1.3845
Ni 1.3493 -1.8057 1.3845
Hg 2.7063 0.0000 0.0000
```

Output
Crystal system: monoclinic
Energy in eV/atom: -4.40
Formation energy in eV per atom: 0.34
Symmetry: No. 12


VASP calculation (GGA-PBE) on a relaxed Mg2CN crystal.

Cell and atoms, written as extended XYZ:
```
8
Lattice="-2.8895 2.8895 2.9384 2.8895 -2.8895 2.9384 2.8895 2.8895 -2.9384" Properties=species:S:1:pos:R:3 pbc="T T T"
Mg 4.3343 1.2662 -0.7346
Mg 1.2662 1.4448 0.7346
Mg -1.4448 1.6234 2.2038
Mg 1.6234 1.4448 3.6730
C 2.8895 0.0000 1.4692
C 0.0000 0.0000 2.9384
N 0.0000 0.0000 0.0000
N 0.0000 2.8895 1.4692
```

Output
Crystal system: tetragonal
E_form (uncorrected) in eV per atom: 0.76
Excess energy over the best structure of this formula in the dataset in eV/atom: 0.9615
Energy in eV/atom: -4.43
Symmetry: No. 122


VASP calculation (GGA-PBE) on a relaxed CeP2Os2 crystal.

Cell and atoms, written as extended XYZ:
```
5
Lattice="4.0840 0.0000 0.0000 0.0000 4.0840 0.0000 0.0000 0.0000 4.8735" Properties=species:S:1:pos:R:3 pbc="T T T"
Ce 0.0000 0.0000 0.0000
P 2.0420 2.0420 1.1310
P 2.0420 2.0420 3.7425
Os 0.0000 2.0420 2.4368
Os 2.0420 0.0000 2.4368
```

Output
Crystal system: tetragonal
Energy in eV/atom: -8.48
Formation energy in eV per atom: -0.64
Symmetry: No. 123


VASP calculation (GGA-PBE) on a relaxed Ca2TbPaO6 crystal.

Cell and atoms, written as extended XYZ:
```
10
Lattice="2.9462 1.7010 5.0748 -2.9462 1.7010 5.0748 0.0000 -3.4020 5.0748" Properties=species:S:1:pos:R:3 pbc="T T T"
Ca 0.0000 0.0000 0.0000
Ca 0.0000 0.0000 7.5618
Tb 0.0000 0.0000 4.2432
Pa 0.0000 0.0000 11.9203
O -1.0400 -1.4247 5.8088
O -2.2180 -0.1806 8.2835
O -0.7138 1.6130 5.8088
O 1.2654 -1.8305 8.2834
O 1.7538 -0.1883 5.8088
O 0.9526 2.0111 8.2835
```

Output
Crystal system: trigonal
E_form (uncorrected) in eV per atom: -3.39
Energy in eV/atom: -8.18
Symmetry: No. 146